(1)
VASP calculation (PBE) on LaPrTe2 after structural relaxation.

Computed properties:
For the energy above the most stable polymorph in this dataset, the calculation gives 2.648 kcal/mol of atoms. The value obtained for the volume is 30.15 Å³/atom. As for the total magnetization: 0.18 μB/atom. The value obtained for the density of states at the Fermi level is 0.901 states/eV/atom. Its space group is P4/mmm (123). For the uncorrected formation energy, the calculation gives -1.41 eV/atom.

a b c (Å): 5.544 5.544 3.924
angles (deg): 90.00 90.00 90.00
Fractional positions:
La: 0.000 0.000 0.000
Pr: 0.500 0.500 0.000
Te: 0.000 0.500 0.500
Te: 0.500 0.000 0.500



(2)
VASP calculation (PBE) on BaPr2CoS5 after structural relaxation.

Computed properties:
The value obtained for the volume is 23.57 Å³/atom. As for the total magnetization: 0.34 μB/atom. The value obtained for the density of states at the Fermi level is 0.449 states/eV/atom. Its space group is I4/mcm (140). For the uncorrected formation energy, the calculation gives -1.65 eV/atom.

a b c (Å): 8.780 8.780 8.780
angles (deg): 126.37 126.37 79.29
Fractional positions:
Ba: 0.250 0.250 0.000
Ba: 0.750 0.750 0.000
Pr: 0.163 0.663 0.826
Pr: 0.337 0.163 0.500
Pr: 0.663 0.837 0.500
Pr: 0.837 0.337 0.174
Co: 0.250 0.750 0.500
Co: 0.750 0.250 0.500
S: 0.000 0.000 0.000
S: 0.009 0.218 0.500
S: 0.218 0.718 0.209
S: 0.282 0.491 0.500
S: 0.491 0.991 0.209
S: 0.500 0.500 0.000
S: 0.509 0.009 0.791
S: 0.718 0.509 0.500
S: 0.782 0.282 0.791
S: 0.991 0.782 0.500



(3)
VASP calculation (PBE) on BaZnCd2 after structural relaxation.

Computed properties:
As for the formation energy: -0.1972 eV per atom. The value obtained for the volume is 29.95 Å³/atom. As for the total magnetization: 0.00 μB/atom. The value obtained for the density of states at the Fermi level is 0.764 states/eV/atom. Its space group is Cm (8).

a b c (Å): 8.389 4.851 6.511
angles (deg): 90.00 115.26 90.00
Fractional positions:
Ba: 0.000 0.000 0.000
Ba: 0.500 0.500 0.000
Zn: 0.201 0.000 0.603
Zn: 0.701 0.500 0.603
Cd: 0.023 0.500 0.571
Cd: 0.297 0.500 0.391
Cd: 0.523 0.000 0.571
Cd: 0.797 0.000 0.391



(4)
VASP calculation (PBE) on AlVTc2C after structural relaxation.

Computed properties:
As for the formation energy: -0.1492 eV per atom. The value obtained for the volume is 13.13 Å³/atom. As for the total magnetization: 0.00 μB/atom. The value obtained for the density of states at the Fermi level is 0.846 states/eV/atom. Its space group is P4/mmm (123).

a b c (Å): 4.096 4.096 3.912
angles (deg): 90.00 90.00 90.00
Fractional positions:
Al: 0.000 0.000 0.000
V: 0.500 0.500 0.000
Tc: 0.000 0.500 0.500
Tc: 0.500 0.000 0.500
C: 0.500 0.500 0.500



(5)
VASP calculation (PBE) on SbTeW2 after structural relaxation.

Computed properties:
For the energy above the most stable polymorph in this dataset, the calculation gives 1.529 kcal/mol of atoms. The value obtained for the volume is 21.55 Å³/atom. As for the total magnetization: 0.00 μB/atom. The value obtained for the density of states at the Fermi level is 0.777 states/eV/atom. Its space group is P4mm (99). For the uncorrected formation energy, the calculation gives 0.35 eV/atom.

a b c (Å): 3.242 3.242 8.203
angles (deg): 90.00 90.00 90.00
Fractional positions:
Sb: 0.000 0.000 0.000
Te: 0.500 0.500 0.381
W: 0.000 0.000 0.592
W: 0.500 0.500 0.776



(6)
VASP calculation (PBE) on RbNaZnAu2 after structural relaxation.

Computed properties:
As for the formation energy: -0.1126 eV per atom. The value obtained for the volume is 28.14 Å³/atom. As for the total magnetization: 0.00 μB/atom. The value obtained for the density of states at the Fermi level is 0.407 states/eV/atom. Its space group is P4/mmm (123).

a b c (Å): 5.152 5.152 5.301
angles (deg): 90.00 90.00 90.00
Fractional positions:
Rb: 0.000 0.000 0.000
Na: 0.500 0.500 0.000
Zn: 0.500 0.500 0.500
Au: 0.000 0.500 0.500
Au: 0.500 0.000 0.500



(7)
VASP calculation (PBE) on Zr3AlGe2 after structural relaxation.

Computed properties:
As for the formation energy: -0.6424 eV per atom. The value obtained for the volume is 19.36 Å³/atom. As for the total magnetization: 0.00 μB/atom. The value obtained for the density of states at the Fermi level is 0.449 states/eV/atom. Its space group is Pnma (62).

a b c (Å): 11.152 3.956 10.531
angles (deg): 90.00 90.00 90.00
Fractional positions:
Zr: 0.044 0.250 0.119
Zr: 0.125 0.750 0.571
Zr: 0.213 0.250 0.792
Zr: 0.287 0.750 0.292
Zr: 0.375 0.250 0.071
Zr: 0.456 0.750 0.619
Zr: 0.544 0.250 0.381
Zr: 0.625 0.750 0.929
Zr: 0.713 0.250 0.708
Zr: 0.787 0.750 0.208
Zr: 0.875 0.250 0.429
Zr: 0.956 0.750 0.881
Al: 0.129 0.250 0.377
Al: 0.371 0.750 0.877
Al: 0.629 0.250 0.123
Al: 0.871 0.750 0.623
Ge: 0.016 0.750 0.306
Ge: 0.188 0.750 0.010
Ge: 0.312 0.250 0.510
Ge: 0.484 0.250 0.806
Ge: 0.516 0.750 0.194
Ge: 0.688 0.750 0.490
Ge: 0.812 0.250 0.990
Ge: 0.984 0.250 0.694



(8)
VASP calculation (PBE) on Sr3MgCd after structural relaxation.

Computed properties:
As for the formation energy: -0.1536 eV per atom. For the energy above the most stable polymorph in this dataset, the calculation gives 0.000 kcal/mol of atoms. The value obtained for the volume is 38.78 Å³/atom. As for the total magnetization: 0.00 μB/atom. The value obtained for the density of states at the Fermi level is 0.896 states/eV/atom. Its space group is Cmcm (63).

a b c (Å): 11.710 11.710 5.848
angles (deg): 90.00 90.00 151.08
Fractional positions:
Sr: 0.070 0.930 0.750
Sr: 0.250 0.750 0.750
Sr: 0.429 0.571 0.750
Sr: 0.571 0.429 0.250
Sr: 0.750 0.250 0.250
Sr: 0.930 0.070 0.250
Mg: 0.158 0.842 0.250
Mg: 0.842 0.158 0.750
Cd: 0.341 0.659 0.250
Cd: 0.659 0.341 0.750



(9)
VASP calculation (PBE) on KTc4P after structural relaxation.

Computed properties:
As for the formation energy: 1.0508 eV per atom. The value obtained for the volume is 17.23 Å³/atom. As for the total magnetization: 0.00 μB/atom. The value obtained for the density of states at the Fermi level is 1.159 states/eV/atom. Its space group is F-43m (216).

a b c (Å): 5.268 5.268 5.268
angles (deg): 60.00 60.00 60.00
Fractional positions:
K: 0.000 0.000 0.000
Tc: 0.377 0.377 0.377
Tc: 0.377 0.377 0.869
Tc: 0.377 0.869 0.377
Tc: 0.869 0.377 0.377
P: 0.750 0.750 0.750



(10)
VASP calculation (PBE) on CaLaF6 after structural relaxation.

Computed properties:
The value obtained for the volume is 13.60 Å³/atom. As for the total magnetization: 0.13 μB/atom. The value obtained for the density of states at the Fermi level is 0.429 states/eV/atom. Its space group is Amm2 (38). For the uncorrected formation energy, the calculation gives -3.41 eV/atom.

a b c (Å): 3.957 7.028 7.826
angles (deg): 90.00 90.00 90.00
Fractional positions:
Ca: 0.000 0.000 0.000
Ca: 0.000 0.500 0.500
La: 0.500 0.000 0.477
La: 0.500 0.500 0.977
F: 0.000 0.000 0.696
F: 0.000 0.182 0.391
F: 0.000 0.318 0.891
F: 0.000 0.500 0.196
F: 0.000 0.682 0.891
F: 0.000 0.818 0.391
F: 0.500 0.000 0.792
F: 0.500 0.177 0.103
F: 0.500 0.323 0.603
F: 0.500 0.500 0.292
F: 0.500 0.677 0.603
F: 0.500 0.823 0.103



(11)
VASP calculation (PBE) on LiTlSn4 after structural relaxation.

Computed properties:
As for the formation energy: -0.0632 eV per atom. For the energy above the most stable polymorph in this dataset, the calculation gives 0.000 kcal/mol of atoms. The value obtained for the volume is 26.10 Å³/atom. As for the total magnetization: 0.00 μB/atom. The value obtained for the density of states at the Fermi level is 0.392 states/eV/atom. Its space group is P4/mmm (123).

a b c (Å): 3.344 3.344 14.000
angles (deg): 90.00 90.00 90.00
Fractional positions:
Li: 0.000 0.000 0.000
Tl: 0.500 0.500 0.500
Sn: 0.000 0.000 0.309
Sn: 0.000 0.000 0.691
Sn: 0.500 0.500 0.141
Sn: 0.500 0.500 0.859



(12)
VASP calculation (PBE) on ZrTlAgTe3 after structural relaxation.

Computed properties:
The value obtained for the volume is 30.97 Å³/atom. As for the total magnetization: 0.00 μB/atom. The value obtained for the density of states at the Fermi level is 0.001 states/eV/atom. Its space group is P2_1/m (11). For the uncorrected formation energy, the calculation gives -0.57 eV/atom.

a b c (Å): 8.705 4.194 10.838
angles (deg): 90.00 110.08 90.00
Fractional positions:
Zr: 0.202 0.250 0.174
Zr: 0.798 0.750 0.826
Tl: 0.234 0.750 0.712
Tl: 0.766 0.250 0.288
Ag: 0.424 0.750 0.397
Ag: 0.576 0.250 0.603
Te: 0.055 0.250 0.877
Te: 0.226 0.250 0.443
Te: 0.420 0.750 0.139
Te: 0.580 0.250 0.861
Te: 0.774 0.750 0.557
Te: 0.945 0.750 0.123